[1]
Here is a relaxed structure of Ti2BTeRh from Alexandria. Energies are from PBE.

## Properties
- ΔE_f (raw) (eV per atom) = 0.12
- M_tot (μB per atom) = 0.000
- space-group type = P4/mmm (123)
- volume (Å³/cell) = 82.0

a = 4.1873 Å, b = 4.6743 Å, c = 4.1873 Å
α = 90.00°, β = 90.00°, γ = 90.00°
Last column: nearest neighbours and their distance in Å.
Fractional positions:
B 0.0000 0.0000 0.0000  4 Ti 2.09, 2 Te 2.34
Ti 0.0000 0.0000 0.5000  2 B 2.09
Ti 0.5000 0.0000 0.0000  2 B 2.09
Rh 0.5000 0.5000 0.5000  4 Te 2.96, 8 Ti 3.14
Te 0.0000 0.5000 0.0000  2 B 2.34

[2]
Here is a relaxed structure of Cs2In2PbF7 from Alexandria. Energies are from PBE.

## Properties
- ΔE_f (raw) (eV per atom) = -2.26
- M_tot (μB per atom) = 0.000
- space-group type = C2/m (12)
- volume (Å³/cell) = 281.9

a = 5.2022 Å, b = 5.2022 Å, c = 10.5870 Å
α = 89.42°, β = 89.42°, γ = 79.73°
Last column: nearest neighbours and their distance in Å.
Fractional positions:
Cs 0.2915 0.2915 0.6401  4 F 2.93-3.27
In 0.3136 0.3136 0.1586  4 F 2.17-2.23
F 0.7268 0.1729 0.1922  1 In 2.18
F 0.5000 0.5000 0.0000  2 In 2.23
F 0.2988 0.2988 0.3637  1 In 2.17
F 0.2732 0.8271 0.8078  1 In 2.18
In 0.6864 0.6864 0.8414  4 F 2.17-2.23
F 0.8271 0.2732 0.8078  1 In 2.18
F 0.7012 0.7012 0.6363  1 In 2.17
Pb 0.0000 0.0000 0.0000  4 F 2.55
Cs 0.7085 0.7085 0.3599  4 F 2.93-3.27
F 0.1729 0.7268 0.1922  1 In 2.18

[3]
Here is a relaxed structure of Rb2SnTeC from Alexandria. Energies are from PBE.

## Properties
- ΔE_f (raw) (eV per atom) = 0.79
- M_tot (μB per atom) = 0.318
- space-group type = P4/mmm (123)
- volume (Å³/cell) = 216.1

a = 7.1948 Å, b = 4.1744 Å, c = 7.1948 Å
α = 90.00°, β = 90.00°, γ = 90.00°
Last column: nearest neighbours and their distance in Å.
Fractional positions:
Rb 0.0000 0.0000 0.5000  2 Te 3.60
Rb 0.5000 0.0000 0.0000  2 Te 3.60
Te 0.0000 0.0000 0.0000  2 C 2.09
C 0.0000 0.5000 0.0000  2 Te 2.09
Sn 0.5000 0.5000 0.5000  8 Rb 4.16, 2 Sn 4.17

[4]
Here is a relaxed structure of RbNa2IO4 from Alexandria. Energies are from PBE.

## Properties
- ΔE_f (raw) (eV per atom) = -1.12
- M_tot (μB per atom) = 0.000
- space-group type = P1 (1)
- volume (Å³/cell) = 152.9

a = 5.9077 Å, b = 6.2139 Å, c = 5.9293 Å
α = 120.47°, β = 121.52°, γ = 87.15°
Last column: nearest neighbours and their distance in Å.
Fractional positions:
Rb 0.9466 0.4311 0.9132  5 O 2.84-3.08
O 0.4958 0.9672 0.3710  1 I 1.98
Na 0.4818 0.0026 0.9826  4 O 2.34-2.48
O 0.0285 0.9292 0.5709  1 I 1.87
O 0.7538 0.8164 0.7991  1 I 1.86
O 0.8610 0.4203 0.3775  1 I 1.98
Na 0.1172 0.1056 0.3424  4 O 2.31-2.40
I 0.7024 0.7147 0.4174  4 O 1.86-1.98

[5]
Here is a relaxed structure of Cs3Ho2InTe6 from Alexandria. Energies are from PBE.

## Properties
- ΔE_f (raw) (eV per atom) = -1.10
- M_tot (μB per atom) = 0.000
- space-group type = C2/m (12)
- volume (Å³/cell) = 476.8

a = 7.8574 Å, b = 7.8574 Å, c = 9.2924 Å
α = 98.13°, β = 98.13°, γ = 119.96°
Last column: nearest neighbours and their distance in Å.
Fractional positions:
Te 0.7331 0.7331 0.1878  1 In 3.09, 2 Ho 3.12
Te 0.2669 0.2669 0.8122  1 In 3.09, 2 Ho 3.12
Cs 0.5000 0.5000 0.5000  6 Te 3.82-3.84
Ho 0.3338 0.6662 0.0000  6 Te 3.12
Te 0.0619 0.3908 0.1861  1 In 3.07, 2 Ho 3.12
Te 0.9381 0.6092 0.8139  1 In 3.07, 2 Ho 3.12
Te 0.6092 0.9381 0.8139  1 In 3.07, 2 Ho 3.12
Cs 0.1686 0.8314 0.5000  6 Te 3.82-3.84
Cs 0.8314 0.1686 0.5000  6 Te 3.82-3.84
In 0.0000 0.0000 0.0000  6 Te 3.07-3.09
Ho 0.6662 0.3338 0.0000  6 Te 3.12
Te 0.3908 0.0619 0.1861  1 In 3.07, 2 Ho 3.12

[6]
Here is a relaxed structure of BaReAg2 from Alexandria. Energies are from PBE.

## Properties
- M_tot (μB per atom) = 0.191
- space-group type = Cmmm (65)
- volume (Å³/cell) = 85.4
- ΔH_f (0 K) (eV/atom) = 0.92

a = 5.4888 Å, b = 5.4888 Å, c = 3.0081 Å
α = 89.97°, β = 89.97°, γ = 109.59°
Last column: nearest neighbours and their distance in Å.
Fractional positions:
Ba 0.5000 0.0000 0.5000  2 Ba 3.01, 8 Ag 3.13, 2 Re 3.16
Ag 0.5000 0.5000 0.0000  4 Ag 3.01-3.16, 4 Ba 3.13, 4 Re 3.13
Re 0.0000 0.5000 0.5000  2 Re 3.01, 8 Ag 3.13, 2 Ba 3.16
Ag 0.0000 0.0000 0.0000  4 Ag 3.01-3.16, 4 Re 3.13, 4 Ba 3.13

[7]
Here is a relaxed structure of TlCo2Sb from Alexandria. Energies are from PBE.

## Properties
- ΔE_f (raw) (eV per atom) = 0.39
- M_tot (μB per atom) = 0.270
- space-group type = P4/mmm (123)
- volume (Å³/cell) = 66.5

a = 3.1578 Å, b = 3.1560 Å, c = 6.6719 Å
α = 90.00°, β = 90.00°, γ = 90.00°
Last column: nearest neighbours and their distance in Å.
Fractional positions:
Sb 0.5000 0.5000 0.2500  8 Co 2.64
Co 0.0000 0.0000 0.4606  4 Sb 2.64, 1 Co 2.81, 4 Tl 2.95
Co 0.0000 0.0000 0.0394  4 Sb 2.64, 1 Co 2.81, 4 Tl 2.95
Tl 0.5000 0.5000 0.7500  8 Co 2.95, 4 Tl 3.16

[8]
Here is a relaxed structure of Ca2NbGe2 from Alexandria. Energies are from PBE.

## Properties
- M_tot (μB per atom) = 0.000
- space-group type = I4/mmm (139)
- volume (Å³/cell) = 106.9
- ΔH_f (0 K) (eV/atom) = 0.18

a = 4.0493 Å, b = 4.0493 Å, c = 7.1191 Å
α = 73.48°, β = 73.48°, γ = 90.00°
Last column: nearest neighbours and their distance in Å.
Fractional positions:
Ca 0.2500 0.7500 0.5000  4 Ca 2.86, 4 Ge 2.90
Nb 0.0000 0.0000 0.0000  8 Ge 3.10
Ge 0.5910 0.5910 0.8179  1 Ge 2.37
Ca 0.7500 0.2500 0.5000  4 Ca 2.86, 4 Ge 2.90
Ge 0.4090 0.4090 0.1821  1 Ge 2.37

[9]
Here is a relaxed structure of LiAg3Ge from Alexandria. Energies are from PBE.

## Properties
- M_tot (μB per atom) = 0.000
- space-group type = Pm-3m (221)
- volume (Å³/cell) = 120.4
- ΔH_f (0 K) (eV/atom) = 0.20

a = 4.9376 Å, b = 4.9376 Å, c = 4.9376 Å
α = 90.00°, β = 90.00°, γ = 90.00°
Last column: nearest neighbours and their distance in Å.
Fractional positions:
Ag 0.0000 0.5000 0.0000  2 Ge 2.47
Ag 0.5000 0.0000 0.0000  2 Ge 2.47
Li 0.5000 0.5000 0.5000  12 Ag 3.49
Ge 0.0000 0.0000 0.0000  6 Ag 2.47
Ag 0.0000 0.0000 0.5000  2 Ge 2.47

[10]
Here is a relaxed structure of PdIBr6 from Alexandria. Energies are from PBE.

## Properties
- ΔE_f (raw) (eV per atom) = -0.03
- M_tot (μB per atom) = 0.000
- space-group type = C2/m (12)
- volume (Å³/cell) = 278.5

a = 7.0080 Å, b = 6.8696 Å, c = 6.8696 Å
α = 119.28°, β = 97.56°, γ = 97.56°
Last column: nearest neighbours and their distance in Å.
Fractional positions:
Br 0.7550 0.2505 0.2505  1 I 2.74, 1 Pd 2.79
I 0.0000 0.0000 0.0000  6 Br 2.74-3.05
Br 0.7023 0.5599 0.8550  1 Pd 2.47
Br 0.2450 0.7495 0.7495  1 I 2.74, 1 Pd 2.79
Br 0.7023 0.8550 0.5599  1 Pd 2.47
Br 0.2977 0.1450 0.4401  1 Pd 2.47
Pd 0.5000 0.5000 0.5000  4 Br 2.47
Br 0.2977 0.4401 0.1450  1 Pd 2.47

[11]
Here is a relaxed structure of LaThZr2 from Alexandria. Energies are from PBE.

## Properties
- M_tot (μB per atom) = 0.000
- space-group type = P4/mmm (123)
- volume (Å³/cell) = 112.1
- ΔH_f (0 K) (eV/atom) = 0.19

a = 4.9591 Å, b = 4.7552 Å, c = 4.7552 Å
α = 90.00°, β = 90.00°, γ = 90.00°
Last column: nearest neighbours and their distance in Å.
Fractional positions:
Zr 0.0000 0.5000 0.0000  4 Zr 3.36, 4 Th 3.44, 4 La 3.44
La 0.5000 0.5000 0.5000  4 Th 3.36, 8 Zr 3.44
Zr 0.0000 0.0000 0.5000  4 Zr 3.36, 4 La 3.44, 4 Th 3.44
Th 0.5000 0.0000 0.0000  4 La 3.36, 8 Zr 3.44

[12]
Here is a relaxed structure of Er3PuSc2Te6 from Alexandria. Energies are from PBE.

## Properties
- ΔE_f (raw) (eV per atom) = -1.17
- M_tot (μB per atom) = 0.528
- space-group type = C2/m (12)
- volume (Å³/cell) = 334.3

a = 4.2662 Å, b = 8.6063 Å, c = 9.6011 Å
α = 103.11°, β = 102.84°, γ = 90.00°
Last column: nearest neighbours and their distance in Å.
Fractional positions:
Er 0.1617 0.8315 0.3234  6 Te 3.00-3.10
Te 0.9970 0.7432 0.9939  1 Sc 2.88, 3 Er 3.00, 2 Pu 3.06
Er 0.5000 0.5000 0.0000  6 Te 3.00-3.12
Te 0.3291 0.9089 0.6581  2 Sc 2.96, 3 Er 3.05-3.06, 1 Pu 3.11
Er 0.8383 0.1685 0.6766  6 Te 3.00-3.10
Te 0.0030 0.2568 0.0061  1 Sc 2.88, 3 Er 3.00, 2 Pu 3.06
Sc 0.8387 0.6767 0.6773  6 Te 2.88-3.05
Sc 0.1613 0.3233 0.3227  6 Te 2.88-3.05
Te 0.3286 0.4244 0.6572  3 Sc 3.02-3.05, 3 Er 3.10-3.12
Pu 0.5000 0.0000 0.0000  6 Te 3.06-3.11
Te 0.6714 0.5756 0.3428  3 Sc 3.02-3.05, 3 Er 3.10-3.12
Te 0.6709 0.0911 0.3419  2 Sc 2.96, 3 Er 3.05-3.06, 1 Pu 3.11